# 1
! YRh3C GGA-PBEsol optimized geometry; values from VASP
! energy relative to the elements = 2795 meV per atom
! energy relative to the lowest polymorph listed for this composition = 3326 meV/atom
! size of the total moment = 1.3 Bohr magnetons per cell
! symmetry = Pm-3m (221)
&SYSTEM
  ibrav = 0, nat = 5, ntyp = 3
/
ATOMIC_SPECIES
Y 88.91 Y.upf
Rh 102.91 Rh.upf
C 12.01 C.upf
CELL_PARAMETERS angstrom
4.752 0.000 0.000
0.000 4.752 0.000
0.000 0.000 4.752
ATOMIC_POSITIONS angstrom
Y 0.000 0.000 0.000
Rh 0.000 0.000 2.376
Rh 0.000 2.376 0.000
Rh 2.376 0.000 0.000
C 2.376 2.376 2.376

---

# 2
! V2P3O11 GGA-PBEsol optimized geometry; values from VASP
! E_form (uncorrected) = -2.24 eV per atom
! size of the total moment = 6.0 Bohr magnetons per cell
! symmetry = C2/c (15)
&SYSTEM
  ibrav = 0, nat = 32, ntyp = 3
/
ATOMIC_SPECIES
V 50.94 V.upf
P 30.97 P.upf
O 16.00 O.upf
CELL_PARAMETERS angstrom
5.766 -4.209 0.000
5.766 4.209 0.000
-3.539 0.000 8.066
ATOMIC_POSITIONS angstrom
V 0.893 2.218 7.757
V 5.330 2.218 4.342
V 2.662 -2.218 3.724
V 7.099 -2.218 0.309
P 3.111 3.863 6.049
P 3.487 0.525 2.348
P 1.718 -0.525 6.381
P 6.274 0.525 1.685
P 4.505 -0.525 5.718
P 4.881 -3.863 2.016
O -2.271 0.524 7.255
O 1.896 2.993 6.395
O -0.501 -0.524 3.222
O 3.109 1.305 1.051
O 4.326 2.993 5.704
O 0.729 0.572 6.699
O 3.746 1.490 3.494
O 6.016 1.490 0.539
O 2.498 -0.572 2.666
O 1.340 -1.305 5.084
O 3.111 0.197 6.049
O 4.881 -0.197 2.016
O 6.652 1.305 2.982
O 5.494 0.572 5.400
O 1.977 -1.490 7.527
O 4.246 -1.490 4.572
O 7.264 -0.572 1.367
O 3.666 -2.993 2.362
O 4.883 -1.305 7.015
O 8.493 0.524 4.844
O 6.096 -2.993 1.671
O 10.263 -0.524 0.811

---

# 3
! CrCuHg2 GGA-PBEsol optimized geometry; values from VASP
! energy relative to the elements = 371 meV per atom
! energy relative to the lowest polymorph listed for this composition = 47 meV/atom
! size of the total moment = 7.7 Bohr magnetons per cell
! symmetry = Cm (8)
&SYSTEM
  ibrav = 0, nat = 8, ntyp = 3
/
ATOMIC_SPECIES
Cr 52.00 Cr.upf
Cu 63.55 Cu.upf
Hg 200.59 Hg.upf
CELL_PARAMETERS angstrom
9.439 0.000 0.000
0.000 3.296 0.000
-1.357 0.000 4.366
ATOMIC_POSITIONS angstrom
Cr 0.000 0.000 0.000
Cr 4.720 1.648 0.000
Cu 1.806 1.648 1.132
Cu 6.525 0.000 1.132
Hg 1.268 0.000 3.423
Hg 3.863 0.000 2.061
Hg 5.987 1.648 3.423
Hg 8.582 1.648 2.061

---

# 4
! InTeAs2 GGA-PBEsol optimized geometry; values from VASP
! energy relative to the lowest polymorph listed for this composition = 0 meV/atom
! E_form (uncorrected) = 0.21 eV per atom
! size of the total moment = 0.0 Bohr magnetons per cell
! symmetry = Cmm2 (35)
&SYSTEM
  ibrav = 0, nat = 8, ntyp = 3
/
ATOMIC_SPECIES
In 114.82 In.upf
Te 127.60 Te.upf
As 74.92 As.upf
CELL_PARAMETERS angstrom
3.588 0.000 0.000
0.000 5.198 0.000
0.000 0.000 10.138
ATOMIC_POSITIONS angstrom
In 0.000 0.000 0.000
In 1.794 2.599 0.000
Te 0.000 2.599 7.363
Te 1.794 0.000 7.363
As 0.000 0.000 4.519
As 0.000 2.599 2.740
As 1.794 0.000 2.740
As 1.794 2.599 4.519

---

# 5
! YGa2IrN GGA-PBEsol optimized geometry; values from VASP
! E_form (uncorrected) = 0.08 eV per atom
! size of the total moment = 0.0 Bohr magnetons per cell
! symmetry = P4/mmm (123)
&SYSTEM
  ibrav = 0, nat = 5, ntyp = 4
/
ATOMIC_SPECIES
Y 88.91 Y.upf
Ga 69.72 Ga.upf
Ir 192.22 Ir.upf
N 14.01 N.upf
CELL_PARAMETERS angstrom
5.056 0.000 0.000
0.000 5.056 0.000
0.000 0.000 3.677
ATOMIC_POSITIONS angstrom
Y 0.000 0.000 0.000
Ga 0.000 2.528 1.838
Ga 2.528 0.000 1.838
Ir 2.528 2.528 1.838
N 2.528 2.528 0.000

---

# 6
! BaAs4Ir GGA-PBEsol optimized geometry; values from VASP
! energy relative to the elements = 351 meV per atom
! size of the total moment = 0.2 Bohr magnetons per cell
! symmetry = F-43m (216)
&SYSTEM
  ibrav = 0, nat = 6, ntyp = 3
/
ATOMIC_SPECIES
Ba 137.33 Ba.upf
As 74.92 As.upf
Ir 192.22 Ir.upf
CELL_PARAMETERS angstrom
0.000 3.982 3.982
3.982 0.000 3.982
3.982 3.982 0.000
ATOMIC_POSITIONS angstrom
Ba 0.000 0.000 0.000
As 4.921 3.042 3.042
As 3.042 4.921 3.042
As 3.042 3.042 4.921
As 4.921 4.921 4.921
Ir 1.991 1.991 1.991

---

# 7
! OsRu2W GGA-PBEsol optimized geometry; values from VASP
! energy relative to the elements = 25 meV per atom
! energy relative to the lowest polymorph listed for this composition = 40 meV/atom
! size of the total moment = 0.0 Bohr magnetons per cell
! symmetry = I4/mmm (139)
&SYSTEM
  ibrav = 0, nat = 8, ntyp = 3
/
ATOMIC_SPECIES
Os 190.23 Os.upf
Ru 101.07 Ru.upf
W 183.84 W.upf
CELL_PARAMETERS angstrom
3.821 0.000 0.000
0.000 3.821 0.000
0.000 0.000 7.707
ATOMIC_POSITIONS angstrom
Os 0.000 0.000 0.000
Os 1.911 1.911 3.853
Ru 0.000 1.911 1.927
Ru 0.000 1.911 5.780
Ru 1.911 0.000 1.927
Ru 1.911 0.000 5.780
W 0.000 0.000 3.853
W 1.911 1.911 0.000

---

# 8
! CaAg2Cl GGA-PBEsol optimized geometry; values from VASP
! energy relative to the lowest polymorph listed for this composition = 536 meV/atom
! E_form (uncorrected) = -0.13 eV per atom
! size of the total moment = 0.0 Bohr magnetons per cell
! symmetry = R-3m (166)
&SYSTEM
  ibrav = 0, nat = 12, ntyp = 3
/
ATOMIC_SPECIES
Ca 40.08 Ca.upf
Ag 107.87 Ag.upf
Cl 35.45 Cl.upf
CELL_PARAMETERS angstrom
3.488 0.000 0.000
-1.744 3.020 0.000
0.000 0.000 25.385
ATOMIC_POSITIONS angstrom
Ca 0.000 0.000 0.000
Ca 0.000 2.014 16.923
Ca 1.744 1.007 8.462
Ag 0.000 0.000 6.150
Ag 0.000 0.000 19.235
Ag 0.000 2.014 10.773
Ag 0.000 2.014 23.073
Ag 1.744 1.007 2.311
Ag 1.744 1.007 14.612
Cl 0.000 0.000 12.692
Cl 0.000 2.014 4.231
Cl 1.744 1.007 21.154